Entry 1:
Compound: Sc6MnCu5
Source: the Alexandria database
Functional: GGA-PBE
Structure: optimized geometry

Computed properties:
The value obtained for the magnetization is 0.000 μB/atom. Its formation energy from the elements is -201 meV per atom. Its calculated volume is 204.2 Å³/cell. Its density of states at the Fermi level is 10.73 states/eV/cell.

Cell: 4.584 6.490 7.931 Å, 114.15 106.80 90.00°
Sites, in units of the cell vectors:
Cu: 0.335 0.835 0.670
Cu: 0.667 0.667 0.334
Cu: 0.000 0.500 0.000
Cu: 0.333 0.333 0.666
Cu: 0.665 0.165 0.330
Sc: 0.500 0.760 0.000
Sc: 0.162 0.406 0.325
Sc: 0.500 0.240 0.000
Sc: 0.838 0.082 0.675
Sc: 0.838 0.594 0.675
Sc: 0.162 0.918 0.325
Mn: 0.000 0.000 0.000

Entry 2:
Compound: ErZrAlAu
Source: the Alexandria database
Functional: GGA-PBE
Structure: optimized geometry

Computed properties:
The value obtained for the magnetization is 0.264 μB/atom. Its formation energy from the elements is -419 meV per atom. Its calculated volume is 86.4 Å³/cell. Its density of states at the Fermi level is 2.48 states/eV/cell.

Cell: 4.963 4.963 4.963 Å, 60.00 60.00 60.00°
Each line ends with the local moment (μB).
Sites, in units of the cell vectors:
Er: 0.500 0.500 0.500  0.24
Zr: 0.000 0.000 0.000  0.47
Au: 0.250 0.250 0.250  0.06
Al: 0.750 0.750 0.750  -0.01

Entry 3:
Compound: CaDyIrPt
Source: the Alexandria database
Functional: GGA-PBE
Structure: optimized geometry

Computed properties:
The value obtained for the magnetization is 0.000 μB/atom. Its formation energy from the elements is -778 meV per atom. Its calculated volume is 82.0 Å³/cell. Its density of states at the Fermi level is 1.78 states/eV/cell.

Cell: 4.877 4.877 4.877 Å, 60.00 60.00 60.00°
Sites, in units of the cell vectors:
Dy: 0.000 0.000 0.000
Ir: 0.750 0.750 0.750
Pt: 0.250 0.250 0.250
Ca: 0.500 0.500 0.500